1.
The following is a PBE calculation of K2PrBr5 after structural relaxation, from OQMD.

Results
* mass density: 3.8 g/cm3
* calculated total energy: -3.77 eV/atom

abc: 13.6581 9.2839 8.6081
angles: 90.00 90.00 90.00
Fractional coordinates of all 32 atoms:
K  0.1723  0.0052  0.0568
K  0.1723  0.4948  0.0568
K  0.3277  0.5052  0.5568
K  0.3277  0.9948  0.5568
K  0.6723  0.0052  0.4432
K  0.6723  0.4948  0.4432
K  0.8277  0.5052  0.9432
K  0.8277  0.9948  0.9432
Pr  0.0062  0.2500  0.5778
Pr  0.4938  0.7500  0.0778
Pr  0.5062  0.2500  0.9222
Pr  0.9938  0.7500  0.4222
Br  0.0074  0.2500  0.9257
Br  0.0767  0.5450  0.6678
Br  0.0767  0.9550  0.6678
Br  0.1822  0.2500  0.3757
Br  0.2053  0.7500  0.3393
Br  0.2947  0.2500  0.8393
Br  0.3178  0.7500  0.8757
Br  0.4233  0.0450  0.1678
Br  0.4233  0.4550  0.1678
Br  0.4926  0.7500  0.4257
Br  0.5074  0.2500  0.5743
Br  0.5767  0.5450  0.8322
Br  0.5767  0.9550  0.8322
Br  0.6822  0.2500  0.1243
Br  0.7053  0.7500  0.1607
Br  0.7947  0.2500  0.6607
Br  0.8178  0.7500  0.6243
Br  0.9233  0.0450  0.3322
Br  0.9233  0.4550  0.3322
Br  0.9926  0.7500  0.0743

2.
The following is a PBE calculation of ZnAsPO after structural relaxation, from OQMD.

Results
* mass density: 4.9 g/cm3
* distance to the lowest polymorph of the same formula: 100 meV/atom

abc: 4.2146 5.5340 5.4234
angles: 90.00 90.00 90.00
Fractional coordinates of all 8 atoms:
Zn  0.0000  0.1748  0.0000
Zn  0.0000  0.8252  0.5000
As  0.5000  0.2497  0.4298
As  0.5000  0.7503  0.9298
P  0.5000  0.3263  0.8619
P  0.5000  0.6737  0.3619
O  0.0000  0.1797  0.3806
O  0.0000  0.8203  0.8806

3.
The following is a PBE calculation of Hf4CdHgB2 after structural relaxation, from OQMD.

Results
* mass density: 11.6 g/cm3
* calculated total energy: -7.12 eV/atom

abc: 3.3820 3.3820 15.2126
angles: 90.00 90.00 120.00
Fractional coordinates of all 8 atoms:
Hf  0.0000  0.0000  0.1617
Hf  0.0000  0.0000  0.8383
Hf  0.3333  0.6667  0.3323
Hf  0.3333  0.6667  0.6677
Cd  0.0000  0.0000  0.5000
Hg  0.3333  0.6667  0.0000
B  0.6667  0.3333  0.2475
B  0.6667  0.3333  0.7525

4.
The following is a PBE calculation of LuCoHgBi after structural relaxation, from OQMD.

Results
* mass density: 12.3 g/cm3
* distance to the lowest polymorph of the same formula: 16 meV/atom

abc: 4.9676 4.9676 4.9676
angles: 60.00 60.00 60.00
Fractional coordinates of all 4 atoms:
Lu  0.0000  0.0000  0.0000
Co  0.7500  0.7500  0.7500
Hg  0.2500  0.2500  0.2500
Bi  0.5000  0.5000  0.5000

5.
The following is a PBE calculation of BaNdCuSi3 after structural relaxation, from OQMD.

Results
* mass density: 5.2 g/cm3
* distance to the lowest polymorph of the same formula: 12 meV/atom

abc: 8.4898 8.2394 6.2098
angles: 70.37 66.08 43.55
Fractional coordinates of all 12 atoms:
Ba  0.2470  0.7530  0.2470
Ba  0.7530  0.2470  0.7530
Nd  0.2500  0.2500  0.2500
Nd  0.7500  0.7500  0.7500
Cu  0.3316  0.3316  0.6684
Cu  0.6684  0.6684  0.3316
Si  0.1637  0.6595  0.8363
Si  0.1714  0.1714  0.8286
Si  0.3405  0.8363  0.6595
Si  0.6595  0.1637  0.3405
Si  0.8286  0.8286  0.1714
Si  0.8363  0.3405  0.1637

6.
The following is a PBE calculation of CuBiPtAu after structural relaxation, from OQMD.

Results
* mass density: 14.9 g/cm3
* distance to the lowest polymorph of the same formula: 0 meV/atom

abc: 4.7116 4.7116 4.7116
angles: 60.00 60.00 60.00
Fractional coordinates of all 4 atoms:
Cu  0.0000  0.0000  0.0000
Bi  0.7500  0.7500  0.7500
Pt  0.5000  0.5000  0.5000
Au  0.2500  0.2500  0.2500